MgOsO2F | GGA-PBE | relaxed

a b c (Å): 3.6687 3.6687 6.5853
angles (deg): 90.00 90.00 90.00
With the nearest neighbours (Å) after each atom.
Fractional positions:
Mg 0.0000 0.0000 0.0000  4 F 2.59
Os 0.5000 0.5000 0.5000  4 O 1.83
O 0.0000 0.5000 0.5000  2 Os 1.83
O 0.5000 0.0000 0.5000  2 Os 1.83
F 0.5000 0.5000 0.0000  4 Mg 2.59

=====

AcDy2Er2 | GGA-PBE | relaxed

a b c (Å): 8.6211 8.6211 11.4164
angles (deg): 90.00 90.00 155.77
With the nearest neighbours (Å) after each atom.
Fractional positions:
Ac 0.0986 0.9014 0.5000  2 Ac 3.62, 4 Dy 3.79-3.91, 4 Er 3.82-3.86
Ac 0.9014 0.0986 0.0000  2 Ac 3.62, 4 Dy 3.79-3.91, 4 Er 3.82-3.86
Dy 0.2072 0.7928 0.0542  5 Er 3.13-3.40, 2 Dy 3.40
Dy 0.4117 0.5883 0.3731  4 Er 3.32-3.54, 4 Dy 3.40-3.62
Dy 0.5883 0.4117 0.8731  4 Er 3.32-3.54, 4 Dy 3.40-3.62
Dy 0.7928 0.2072 0.5542  5 Er 3.13-3.40, 2 Dy 3.40
Er 0.2577 0.7423 0.7903  3 Dy 3.13-3.30, 1 Er 3.33
Er 0.4408 0.5592 0.6806  4 Dy 3.32-3.54, 3 Er 3.33-3.62
Er 0.5592 0.4408 0.1806  4 Dy 3.32-3.54, 3 Er 3.33-3.62
Er 0.7423 0.2577 0.2903  3 Dy 3.13-3.30, 1 Er 3.33

Properties
Formation energy: 0.1568 eV per atom

=====

AlCrCo2 | GGA-PBE | relaxed

a b c (Å): 4.0713 4.0713 2.8015
angles (deg): 90.00 90.00 90.00
With the nearest neighbours (Å) after each atom.
Fractional positions:
Al 0.0000 0.0000 0.0000  8 Co 2.47
Cr 0.5000 0.5000 0.0000  8 Co 2.47
Co 0.0000 0.5000 0.5000  4 Cr 2.47, 4 Al 2.47
Co 0.5000 0.0000 0.5000  4 Cr 2.47, 4 Al 2.47

Properties
Formation energy: -0.2100 eV per atom

=====

NaCd2Si | GGA-PBE | relaxed

a b c (Å): 4.9439 4.9439 4.9439
angles (deg): 60.00 60.00 60.00
With the nearest neighbours (Å) after each atom.
Fractional positions:
Na 0.0000 0.0000 0.0000  8 Cd 3.03
Cd 0.2500 0.2500 0.2500  4 Si 3.03, 4 Na 3.03
Cd 0.7500 0.7500 0.7500  4 Si 3.03, 4 Na 3.03
Si 0.5000 0.5000 0.5000  8 Cd 3.03

Properties
Distance to the lowest polymorph of the same formula: 0.0 meV/atom

=====

Ac2Al4ZnAu3 | GGA-PBE | relaxed

a b c (Å): 4.5341 4.5341 10.6797
angles (deg): 90.00 90.00 90.00
With the nearest neighbours (Å) after each atom.
Fractional positions:
Ac 0.0000 0.5000 0.2453  8 Al 3.44-3.54, 2 Zn 3.46, 6 Au 3.46-3.48
Ac 0.5000 0.0000 0.7547  8 Al 3.44-3.54, 2 Zn 3.46, 6 Au 3.46-3.48
Al 0.0000 0.0000 0.5000  4 Au 2.64
Al 0.0000 0.5000 0.8713  3 Au 2.61-2.65, 2 Zn 2.65
Al 0.5000 0.0000 0.1287  3 Au 2.61-2.65, 2 Zn 2.65
Al 0.5000 0.5000 0.5000  4 Au 2.64
Zn 0.5000 0.5000 0.0000  4 Al 2.65
Au 0.0000 0.0000 0.0000  4 Al 2.65
Au 0.0000 0.5000 0.6271  5 Al 2.61-2.64
Au 0.5000 0.0000 0.3729  5 Al 2.61-2.64

Properties
Formation energy: -0.6598 eV per atom

=====

InOs2Br | GGA-PBE | relaxed

a b c (Å): 6.5308 6.5308 6.5308
angles (deg): 154.41 139.71 48.34
With the nearest neighbours (Å) after each atom.
Fractional positions:
In 0.0000 0.0000 0.0000  6 Os 2.87-3.18, 2 In 2.89
Os 0.2375 0.7375 0.5000  2 Os 2.55, 4 Br 2.70
Os 0.4133 0.4133 0.0000  2 Os 2.55
Br 0.7044 0.2044 0.5000  4 Os 2.70, 2 Br 2.89

Properties
Distance to the lowest polymorph of the same formula: 517.3 meV/atom

=====

TbYLu4 | GGA-PBE | relaxed

a b c (Å): 6.4867 6.4867 6.4867
angles (deg): 60.00 60.00 60.00
With the nearest neighbours (Å) after each atom.
Fractional positions:
Tb 0.0000 0.0000 0.0000  12 Lu 3.80, 4 Y 3.97
Y 0.7500 0.7500 0.7500  12 Lu 3.80, 4 Tb 3.97
Lu 0.3752 0.3752 0.3752  6 Lu 3.24-3.25
Lu 0.3752 0.3752 0.8744  6 Lu 3.24-3.25
Lu 0.3752 0.8744 0.3752  6 Lu 3.24-3.25
Lu 0.8744 0.3752 0.3752  6 Lu 3.24-3.25

Properties
Formation energy: 0.2675 eV per atom

=====

Cd4Pt | GGA-PBE | relaxed

a b c (Å): 5.2458 5.2458 5.2458
angles (deg): 90.00 90.00 90.00
With the nearest neighbours (Å) after each atom.
Fractional positions:
Cd 0.0000 0.0000 0.0000  12 Cd 3.71
Cd 0.0000 0.5000 0.5000  2 Pt 2.62
Cd 0.5000 0.0000 0.5000  2 Pt 2.62
Cd 0.5000 0.5000 0.0000  2 Pt 2.62
Pt 0.5000 0.5000 0.5000  6 Cd 2.62

Properties
Formation energy: 0.0320 eV per atom

=====

AcDy2Ag | GGA-PBE | relaxed

a b c (Å): 10.7178 10.7178 10.7178
angles (deg): 20.14 20.14 20.14
With the nearest neighbours (Å) after each atom.
Fractional positions:
Ac 0.0000 0.0000 0.0000  6 Ac 3.75, 6 Dy 3.75
Dy 0.2361 0.2361 0.2361  3 Ag 3.08
Dy 0.7639 0.7639 0.7639  3 Ag 3.08
Ag 0.5000 0.5000 0.5000  6 Dy 3.08

Properties
Distance to the lowest polymorph of the same formula: 126.1 meV/atom
Formation energy: 0.0235 eV per atom

=====

AcPm3Ge2 | GGA-PBE | relaxed

a b c (Å): 9.2744 9.2744 9.5441
angles (deg): 112.61 112.61 28.41
With the nearest neighbours (Å) after each atom.
Fractional positions:
Ac 0.1169 0.1169 0.1381  6 Ge 3.24-3.42, 1 Pm 3.52
Ac 0.8831 0.8831 0.8619  6 Ge 3.24-3.42, 1 Pm 3.52
Pm 0.0507 0.0507 0.6936  3 Ge 3.04-3.23, 2 Pm 3.35
Pm 0.3083 0.3083 0.1180  3 Ge 3.10-3.17, 4 Pm 3.30-3.35
Pm 0.3501 0.3501 0.5218  4 Ge 3.07-3.40
Pm 0.6499 0.6499 0.4782  4 Ge 3.07-3.40
Pm 0.6917 0.6917 0.8820  3 Ge 3.10-3.17, 4 Pm 3.30-3.35
Pm 0.9493 0.9493 0.3064  3 Ge 3.04-3.23, 2 Pm 3.35
Ge 0.2320 0.2320 0.7026  6 Pm 3.07-3.23, 2 Ac 3.41
Ge 0.4882 0.4882 0.1360  1 Ge 2.79, 2 Pm 3.04
Ge 0.5118 0.5118 0.8640  1 Ge 2.79, 2 Pm 3.04
Ge 0.7680 0.7680 0.2974  6 Pm 3.07-3.23, 2 Ac 3.41

Properties
Formation energy: -0.5391 eV per atom

=====

Ti3VNi12 | GGA-PBE | relaxed

a b c (Å): 3.5973 3.5973 14.4127
angles (deg): 90.00 90.00 90.00
With the nearest neighbours (Å) after each atom.
Fractional positions:
Ti 0.0000 0.0000 0.0000  12 Ni 2.54-2.55
Ti 0.0000 0.0000 0.2515  12 Ni 2.54-2.56
Ti 0.0000 0.0000 0.7485  12 Ni 2.54-2.56
V 0.0000 0.0000 0.5000  12 Ni 2.53-2.54
Ni 0.0000 0.5000 0.1253  8 Ni 2.54-2.55, 4 Ti 2.55-2.56
Ni 0.0000 0.5000 0.3767  8 Ni 2.53-2.55, 2 V 2.53, 2 Ti 2.55
Ni 0.0000 0.5000 0.6233  8 Ni 2.53-2.55, 2 V 2.53, 2 Ti 2.55
Ni 0.0000 0.5000 0.8747  8 Ni 2.54-2.55, 4 Ti 2.55-2.56
Ni 0.5000 0.0000 0.1253  8 Ni 2.54-2.55, 4 Ti 2.55-2.56
Ni 0.5000 0.0000 0.3767  8 Ni 2.53-2.55, 2 V 2.53, 2 Ti 2.55
Ni 0.5000 0.0000 0.6233  8 Ni 2.53-2.55, 2 V 2.53, 2 Ti 2.55
Ni 0.5000 0.0000 0.8747  8 Ni 2.54-2.55, 4 Ti 2.55-2.56
Ni 0.5000 0.5000 0.0000  4 Ti 2.54, 8 Ni 2.55
Ni 0.5000 0.5000 0.2509  4 Ti 2.54, 8 Ni 2.55
Ni 0.5000 0.5000 0.5000  8 Ni 2.53, 4 V 2.54
Ni 0.5000 0.5000 0.7491  4 Ti 2.54, 8 Ni 2.55

Properties
Formation energy: -0.3847 eV per atom

=====

ZnCd3 | GGA-PBE | relaxed

a b c (Å): 9.5196 9.5196 9.5196
angles (deg): 19.59 19.59 19.59
With the nearest neighbours (Å) after each atom.
Fractional positions:
Zn 0.0000 0.0000 0.0000  6 Cd 2.84
Cd 0.2569 0.2569 0.2569  3 Zn 2.84, 3 Cd 3.14
Cd 0.5000 0.5000 0.5000  12 Cd 3.14-3.24
Cd 0.7431 0.7431 0.7431  3 Zn 2.84, 3 Cd 3.14

Properties
Formation energy: 0.0597 eV per atom

=====

YLu3S | GGA-PBE | relaxed

a b c (Å): 5.2000 5.2000 5.2000
angles (deg): 90.00 90.00 90.00
With the nearest neighbours (Å) after each atom.
Fractional positions:
Y 0.0000 0.0000 0.0000  12 Lu 3.68
Lu 0.0000 0.5000 0.5000  2 S 2.60
Lu 0.5000 0.0000 0.5000  2 S 2.60
Lu 0.5000 0.5000 0.0000  2 S 2.60
S 0.5000 0.5000 0.5000  6 Lu 2.60

=====

TiCoNiGe2 | GGA-PBE | relaxed

a b c (Å): 4.8127 4.8127 4.2989
angles (deg): 90.00 90.00 90.00
With the nearest neighbours (Å) after each atom.
Fractional positions:
Ti 0.0000 0.0000 0.0000  2 Ni 2.15, 4 Ge 2.41
Co 0.5000 0.5000 0.5000  8 Ge 3.23, 4 Ni 3.40
Ni 0.0000 0.0000 0.5000  2 Ti 2.15
Ge 0.0000 0.5000 0.0000  2 Ti 2.41
Ge 0.5000 0.0000 0.0000  2 Ti 2.41

Properties
Formation energy: 1.0299 eV per atom

=====

Rb2BeBiO | GGA-PBE | relaxed

a b c (Å): 6.9926 6.9926 3.1125
angles (deg): 90.00 90.00 90.00
With the nearest neighbours (Å) after each atom.
Fractional positions:
Rb 0.0000 0.5000 0.0000  2 Rb 3.11
Rb 0.5000 0.0000 0.0000  2 Rb 3.11
Be 0.0000 0.0000 0.0000  2 O 1.56
Bi 0.5000 0.5000 0.5000  2 Bi 3.11
O 0.0000 0.0000 0.5000  2 Be 1.56

=====

Pr5Dy3Cd2 | GGA-PBE | relaxed

a b c (Å): 12.1999 12.1999 12.1999
angles (deg): 139.51 53.58 146.43
With the nearest neighbours (Å) after each atom.
Fractional positions:
Pr 0.0860 0.7500 0.3360  3 Dy 3.37-3.57, 2 Cd 3.38, 6 Pr 3.46-3.52
Pr 0.2157 0.1671 0.3828  1 Cd 3.15, 4 Pr 3.46-3.50
Pr 0.2500 0.2500 0.0000  4 Cd 3.18, 4 Dy 3.49, 2 Pr 3.52
Pr 0.2843 0.6671 0.9514  1 Cd 3.15, 4 Pr 3.46-3.50
Pr 0.4140 0.7500 0.6640  3 Dy 3.37-3.57, 2 Cd 3.38, 6 Pr 3.46-3.52
Pr 0.5860 0.2500 0.3360  3 Dy 3.37-3.57, 2 Cd 3.38, 6 Pr 3.46-3.52
Pr 0.7157 0.3329 0.0486  1 Cd 3.15, 4 Pr 3.46-3.50
Pr 0.7500 0.7500 0.0000  4 Cd 3.18, 4 Dy 3.49, 2 Pr 3.52
Pr 0.7843 0.8329 0.6172  1 Cd 3.15, 4 Pr 3.46-3.50
Pr 0.9140 0.2500 0.6640  3 Dy 3.37-3.57, 2 Cd 3.38, 6 Pr 3.46-3.52
Dy 0.1192 0.8193 0.9385  5 Pr 3.37-3.61, 3 Cd 3.70-3.75
Dy 0.2500 0.7500 0.5000  4 Cd 3.20, 2 Dy 3.52, 2 Pr 3.57
Dy 0.3808 0.3193 0.7001  5 Pr 3.37-3.61, 3 Cd 3.70-3.75
Dy 0.6192 0.6807 0.2999  5 Pr 3.37-3.61, 3 Cd 3.70-3.75
Dy 0.7500 0.2500 0.5000  4 Cd 3.20, 2 Dy 3.52, 2 Pr 3.57
Dy 0.8808 0.1807 0.0615  5 Pr 3.37-3.61, 3 Cd 3.70-3.75
Cd 0.0746 0.2480 0.3226  5 Pr 3.15-3.38, 2 Dy 3.20
Cd 0.4254 0.7480 0.1734  5 Pr 3.15-3.38, 2 Dy 3.20
Cd 0.5746 0.2520 0.8266  5 Pr 3.15-3.38, 2 Dy 3.20
Cd 0.9254 0.7520 0.6774  5 Pr 3.15-3.38, 2 Dy 3.20

Properties
Formation energy: 0.0135 eV per atom

=====

SbIr | GGA-PBE | relaxed

a b c (Å): 7.2717 7.2717 7.2717
angles (deg): 90.00 90.00 90.00
With the nearest neighbours (Å) after each atom.
Fractional positions:
Sb 0.0000 0.2500 0.5000  4 Ir 2.57
Sb 0.0000 0.7500 0.5000  4 Ir 2.57
Sb 0.2500 0.5000 0.0000  4 Ir 2.57
Sb 0.5000 0.0000 0.2500  4 Ir 2.57
Sb 0.5000 0.0000 0.7500  4 Ir 2.57
Sb 0.7500 0.5000 0.0000  4 Ir 2.57
Ir 0.0000 0.5000 0.2500  4 Sb 2.57
Ir 0.0000 0.5000 0.7500  4 Sb 2.57
Ir 0.2500 0.0000 0.5000  4 Sb 2.57
Ir 0.5000 0.2500 0.0000  4 Sb 2.57
Ir 0.5000 0.7500 0.0000  4 Sb 2.57
Ir 0.7500 0.0000 0.5000  4 Sb 2.57

=====

Li2CaCoH6 | GGA-PBE | relaxed

a b c (Å): 4.5586 4.5586 5.7505
angles (deg): 90.00 90.00 120.00
With the nearest neighbours (Å) after each atom.
Fractional positions:
Li 0.3333 0.6667 0.0763  3 H 1.94
Li 0.6667 0.3333 0.9237  3 H 1.94
Ca 0.0000 0.0000 0.5000  6 H 2.32
Co 0.0000 0.0000 0.0000  6 H 1.55
H 0.1579 0.3159 0.8394  1 Co 1.55
H 0.1579 0.8421 0.8394  1 Co 1.55
H 0.3159 0.1579 0.1606  1 Co 1.55
H 0.6841 0.8421 0.8394  1 Co 1.55
H 0.8421 0.1579 0.1606  1 Co 1.55
H 0.8421 0.6841 0.1606  1 Co 1.55

=====

TmSi3Ir5 | GGA-PBE | relaxed

a b c (Å): 6.4756 6.4756 12.3819
angles (deg): 90.00 90.00 145.15
With the nearest neighbours (Å) after each atom.
Fractional positions:
Tm 0.1553 0.8447 0.7500  7 Si 3.25-3.46, 10 Ir 3.38-3.64
Tm 0.8447 0.1553 0.2500  7 Si 3.25-3.46, 10 Ir 3.38-3.64
Si 0.1244 0.8756 0.2500  6 Ir 2.38-2.49
Si 0.3855 0.6145 0.0429  5 Ir 2.27-2.48
Si 0.3855 0.6145 0.4571  5 Ir 2.27-2.48
Si 0.6145 0.3855 0.5429  5 Ir 2.27-2.48
Si 0.6145 0.3855 0.9571  5 Ir 2.27-2.48
Si 0.8756 0.1244 0.7500  6 Ir 2.38-2.49
Ir 0.0000 0.0000 0.0000  4 Si 2.46, 6 Ir 2.70-2.74
Ir 0.0000 0.0000 0.5000  4 Si 2.46, 6 Ir 2.70-2.74
Ir 0.2048 0.7952 0.0758  2 Si 2.27-2.38
Ir 0.2048 0.7952 0.4242  2 Si 2.27-2.38
Ir 0.4488 0.5512 0.6472  4 Si 2.42-2.49, 1 Ir 2.55
Ir 0.4488 0.5512 0.8528  4 Si 2.42-2.49, 1 Ir 2.55
Ir 0.5512 0.4488 0.1472  4 Si 2.42-2.49, 1 Ir 2.55
Ir 0.5512 0.4488 0.3528  4 Si 2.42-2.49, 1 Ir 2.55
Ir 0.7952 0.2048 0.5758  2 Si 2.27-2.38
Ir 0.7952 0.2048 0.9242  2 Si 2.27-2.38

=====

Be5NbPt4 | GGA-PBE | relaxed

a b c (Å): 2.8365 2.8365 14.8170
angles (deg): 90.00 90.00 90.00
With the nearest neighbours (Å) after each atom.
Fractional positions:
Be 0.0000 0.0000 0.0000  8 Pt 2.46
Be 0.0000 0.0000 0.1946  8 Pt 2.46-2.48
Be 0.0000 0.0000 0.3816  4 Pt 2.42, 4 Nb 2.67
Be 0.0000 0.0000 0.6184  4 Pt 2.42, 4 Nb 2.67
Be 0.0000 0.0000 0.8054  8 Pt 2.46-2.48
Nb 0.5000 0.5000 0.5000  8 Be 2.67, 4 Nb 2.84
Pt 0.5000 0.5000 0.0967  8 Be 2.46-2.48
Pt 0.5000 0.5000 0.2904  8 Be 2.42-2.46
Pt 0.5000 0.5000 0.7096  8 Be 2.42-2.46
Pt 0.5000 0.5000 0.9033  8 Be 2.46-2.48

Properties
Formation energy: -0.6385 eV per atom

=====

Raw total energy? In order: -5.975 -4.331 -7.104 -1.972 -4.089 -5.733 -4.596 -1.908 -4.017 -5.138 -6.771 -0.945 -5.428 -4.974 -3.597 -3.940 -6.106 -3.623 -7.840 -5.925 eV/atom.
Fermi-level density of states? In order: 2.7 13.2 4.1 2.3 6.3 3.3 13.5 2.0 6.2 11.5 7.7 0.9 6.0 5.0 3.1 23.1 9.0 1.2 9.6 2.6 states/eV/cell.